# LaCeNp

Crystalline LaCeNp at its relaxed geometry (PBE, Alexandria via LeMat-Bulk).

Cell lengths 16.8414, 3.4293, 5.9805 Å; angles 90.00, 107.63, 90.00 degrees
Space group C2/m (No. 12)
Unique sites:
La: 0.0610 0.0000 0.3143 x4
Ce: 0.1624 0.5000 0.8840 x4
Np: 0.2242 0.5000 0.3570 x4

Formation energy from the elements = 0.19 eV per atom

=====

# ScZnSeN2

Crystalline ScZnSeN2 at its relaxed geometry (PBE, Alexandria via LeMat-Bulk).

Cell lengths 4.0241, 4.0241, 5.7450 Å; angles 90.00, 90.00, 90.00 degrees
Space group P4/mmm (No. 123)
Unique sites:
Sc: 0.0000 0.0000 0.0000 x1
Zn: 0.5000 0.5000 0.5000 x1
Se: 0.0000 0.0000 0.5000 x1
N: 0.0000 0.5000 0.0000 x2

=====

# KLa2Si

Crystalline KLa2Si at its relaxed geometry (PBE, Alexandria via LeMat-Bulk).

Cell lengths 6.9162, 10.9377, 3.6495 Å; angles 90.00, 115.61, 90.00 degrees
Space group C2/m (No. 12)
Unique sites:
K: 0.0000 0.0000 0.0000 x2
La: 0.2500 0.2500 0.5000 x4
Si: 0.0000 0.5000 0.0000 x2

=====

# Sr2TcN3

Crystalline Sr2TcN3 at its relaxed geometry (PBE, Alexandria via LeMat-Bulk).

Cell lengths 3.6606, 3.9823, 13.2476 Å; angles 90.00, 90.00, 90.00 degrees
Space group Immm (No. 71)
Unique sites:
Sr: 0.0000 0.0000 0.1492 x4
Tc: 0.0000 0.0000 0.5000 x2
N: 0.0000 0.0000 0.3542 x4
N: 0.0000 0.5000 0.5000 x2

=====

# TaSeN2Cl

Crystalline TaSeN2Cl at its relaxed geometry (PBE, Alexandria via LeMat-Bulk).

Cell lengths 3.8984, 3.8984, 4.5545 Å; angles 90.00, 90.00, 90.00 degrees
Space group P4/mmm (No. 123)
Unique sites:
Ta: 0.0000 0.0000 0.0000 x1
Se: 0.5000 0.5000 0.0000 x1
N: 0.0000 0.5000 0.5000 x2
Cl: 0.5000 0.5000 0.5000 x1

=====

# Sm5GaHg2

Crystalline Sm5GaHg2 at its relaxed geometry (PBE, Alexandria via LeMat-Bulk).

Cell lengths 7.7672, 7.7672, 15.3936 Å; angles 90.00, 90.00, 90.00 degrees
Space group I4/mcm (No. 140)
Unique sites:
Sm: 0.0000 0.0000 0.0000 x4
Sm: 0.1655 0.3345 0.1563 x16
Ga: 0.0000 0.0000 0.2500 x4
Hg: 0.1317 0.3683 0.5000 x8

Formation energy from the elements = -0.34 eV per atom

=====

# CaHg2Pt2

Crystalline CaHg2Pt2 at its relaxed geometry (PBE, Alexandria via LeMat-Bulk).

Cell lengths 7.4784, 7.4784, 3.7355 Å; angles 90.00, 90.00, 90.00 degrees
Space group P4/mbm (No. 127)
Unique sites:
Ca: 0.0000 0.0000 0.0000 x2
Hg: 0.1690 0.3310 0.5000 x4
Pt: 0.1293 0.6293 0.0000 x4

Formation energy from the elements = -0.36 eV per atom

=====

# CaTl2Pd

Crystalline CaTl2Pd at its relaxed geometry (PBE, Alexandria via LeMat-Bulk).

Cell lengths 8.6068, 8.6068, 5.8944 Å; angles 90.00, 90.00, 90.00 degrees
Space group I-42d (No. 122)
Unique sites:
Ca: 0.0000 0.0000 0.0000 x4
Tl: 0.1846 0.2500 0.6250 x8
Pd: 0.0000 0.0000 0.5000 x4

Formation energy from the elements = -0.26 eV per atom

=====

# Ni2Hg2C

Crystalline Ni2Hg2C at its relaxed geometry (PBE, Alexandria via LeMat-Bulk).

Cell lengths 3.2635, 3.2635, 14.7438 Å; angles 90.00, 90.00, 90.00 degrees
Space group I4/mmm (No. 139)
Unique sites:
Ni: 0.0000 0.5000 0.2500 x4
Hg: 0.0000 0.0000 0.0999 x4
C: 0.0000 0.0000 0.5000 x2

Formation energy from the elements = 1.33 eV per atom

=====

# TePb

Crystalline TePb at its relaxed geometry (PBE, Alexandria via LeMat-Bulk).

Cell lengths 4.3542, 4.3542, 9.9881 Å; angles 90.00, 90.00, 120.00 degrees
Space group P-3m1 (No. 164)
Unique sites:
Te: 0.3333 0.6667 0.1764 x2
Pb: 0.3333 0.6667 0.6550 x2

=====

The records above give, respectively, theoretical density values of 10.4, 3.9, 4.6, 5.4, 7.8, 8.7, 13.2, 8.4, 11.2, 6.8 g/cm3.
The records above give, respectively, final energy values of -7.744, -4.970, -3.812, -6.912, -4.692, -3.745, -3.302, -3.244, -2.952, -3.654 eV/atom.